[1]
# Bi3PdPt2

A relaxed Bi3PdPt2 crystal (GGA-PBE, the Alexandria database).

```
data_Bi3PdPt2
_symmetry_space_group_name_H-M 'C 1 2/m 1'
_symmetry_Int_Tables_number 12
_symmetry_space_group_name_Hall '-C 2y'
_cell_length_a 17.2300
_cell_length_b 4.5071
_cell_length_c 7.6199
_cell_angle_alpha 90.00
_cell_angle_beta 96.40
_cell_angle_gamma 90.00
loop_
_atom_site_label
_atom_site_type_symbol
_atom_site_fract_x
_atom_site_fract_y
_atom_site_fract_z
_atom_site_occupancy
Bi1 Bi 0.0763 0.0000 0.3673 1
Bi2 Bi 0.0955 0.5000 0.7906 1
Bi3 Bi 0.2333 0.5000 0.1923 1
Pd1 Pd 0.1402 0.0000 0.0168 1
Pt1 Pt 0.0607 0.5000 0.1520 1
Pt2 Pt 0.2371 0.0000 0.4003 1
```

Calculated values
Density: 12.69 Mg/m³
E_form: -0.174 eV/atom
Magnetic moment: 0.00 μB/f.u.
Final energy: -4.9934 eV per atom


[2]
# KSi2Hg2

A relaxed KSi2Hg2 crystal (GGA-PBE, the Alexandria database).

```
data_KSi2Hg2
_symmetry_space_group_name_H-M 'I 4/m m m'
_symmetry_Int_Tables_number 139
_symmetry_space_group_name_Hall '-I 4 2'
_cell_length_a 4.4247
_cell_length_b 4.4247
_cell_length_c 12.3699
_cell_angle_alpha 90.00
_cell_angle_beta 90.00
_cell_angle_gamma 90.00
loop_
_atom_site_label
_atom_site_type_symbol
_atom_site_fract_x
_atom_site_fract_y
_atom_site_fract_z
_atom_site_occupancy
K1 K 0.0000 0.0000 0.0000 1
Si1 Si 0.0000 0.5000 0.2500 1
Hg1 Hg 0.0000 0.0000 0.3840 1
```

Calculated values
Density: 6.81 Mg/m³
Magnetic moment: 0.00 μB/f.u.
Final energy: -2.2901 eV per atom